Computed, not measured: K2RhO2F2 after structural relaxation at the PBE level of DFT.

- Uncorrected formation energy: -1.65 eV per atom

Lattice parameters (Å, degrees): 3.9911 3.9911 13.6363 90.00 90.00 90.00
Space group I4/mmm (No. 139)
Inequivalent atoms, fractional coordinates:
K 0.0000 0.0000 0.1442
Rh 0.0000 0.0000 0.5000
O 0.0000 0.5000 0.0000
F 0.0000 0.0000 0.3447

***

Computed, not measured: Er2Tm8Pu after structural relaxation at the PBE level of DFT.

- E above lowest polymorph: 80 meV per atom
- Energy of formation: 0.125 eV/atom

Lattice parameters (Å, degrees): 5.4057 7.7485 15.9389 90.00 90.00 90.00
Space group Immm (No. 71)
Inequivalent atoms, fractional coordinates:
Er 0.0000 0.0000 0.1982
Tm 0.0000 0.2169 0.0000
Tm 0.0000 0.2864 0.3644
Tm 0.0000 0.5000 0.1676
Pu 0.0000 0.0000 0.5000

***

Computed, not measured: FeHgRh2 after structural relaxation at the PBE level of DFT.

- Energy of formation: 0.141 eV/atom

Lattice parameters (Å, degrees): 2.8774 2.8774 26.1278 90.00 90.00 120.00
Space group R-3m (No. 166, hexagonal axes)
Inequivalent atoms, fractional coordinates:
Fe 0.0000 0.0000 0.0000
Hg 0.0000 0.0000 0.5000
Rh 0.0000 0.0000 0.2590